1.
This record from the Alexandria database describes Ca3YS4 after structural relaxation. The functional is PBE-GGA.

Lattice parameters (Å, degrees): 8.010 11.306 3.988 90.00 90.00 90.00
Space group Cmmm (No. 65)
Symmetry-distinct sites (fractional):
Ca  0.000  0.000  0.000 (multiplicity 2)
Ca  0.250  0.250  0.500 (multiplicity 4)
Y  0.000  0.500  0.000 (multiplicity 2)
S  0.000  0.253  0.000 (multiplicity 4)
S  0.245  0.500  0.500 (multiplicity 4)

Output
Total magnetization = 0.00 μB/cell
DOS(E_F) = 0.31 states/eV per atom
Total DFT energy (no corrections) = -5.72 eV per atom
Volume = 361.2 Å³ per cell

2.
This record from the Alexandria database describes ZrMn2P after structural relaxation. The functional is PBE-GGA.

Lattice parameters (Å, degrees): 3.309 4.335 8.278 90.00 90.00 90.00
Space group Imm2 (No. 44)
Symmetry-distinct sites (fractional):
Zr  0.000  0.000  0.000 (multiplicity 2)
Mn  0.000  0.000  0.544 (multiplicity 2)
Mn  0.000  0.500  0.772 (multiplicity 2)
P  0.000  0.500  0.236 (multiplicity 2)

Output
Total magnetization = 9.51 μB/cell
Formation energy from the elements = -0.23 eV/atom
DOS(E_F) = 0.86 states/eV per atom
Volume = 118.8 Å³ per cell

3.
This record from the Alexandria database describes Ac3HoS6 after structural relaxation. The functional is PBE-GGA.

Lattice parameters (Å, degrees): 7.137 7.673 12.563 90.00 123.22 90.00
Space group P2_1/c (No. 14)
Symmetry-distinct sites (fractional):
Ac  0.000  0.000  0.000 (multiplicity 2)
Ac  0.286  0.082  0.752 (multiplicity 4)
Ho  0.500  0.000  0.500 (multiplicity 2)
S  0.117  0.062  0.263 (multiplicity 4)
S  0.274  0.684  0.075 (multiplicity 4)
S  0.403  0.200  0.077 (multiplicity 4)

Output
Total magnetization = 0.00 μB/cell
DOS(E_F) = 0.00 states/eV per atom
Energy above the most stable polymorph in this dataset = 36 meV/atom
Volume = 575.6 Å³ per cell

4.
This record from the Alexandria database describes Al2ZnPb after structural relaxation. The functional is PBE-GGA.

Lattice parameters (Å, degrees): 4.705 4.705 16.891 90.00 90.00 90.00
Space group I-42d (No. 122)
Symmetry-distinct sites (fractional):
Al  0.163  0.250  0.125 (multiplicity 8)
Zn  0.000  0.000  0.000 (multiplicity 4)
Pb  0.000  0.000  0.500 (multiplicity 4)

Output
Total magnetization = 0.00 μB/cell
Formation energy from the elements = 0.25 eV/atom
DOS(E_F) = 0.27 states/eV per atom
Energy above the most stable polymorph in this dataset = 69 meV/atom
Volume = 373.9 Å³ per cell

5.
This record from the Alexandria database describes SiNi2Br after structural relaxation. The functional is PBE-GGA.

Lattice parameters (Å, degrees): 5.880 6.358 3.022 90.00 90.00 90.00
Space group Cmmm (No. 65)
Symmetry-distinct sites (fractional):
Si  0.000  0.000  0.000 (multiplicity 2)
Ni  0.250  0.250  0.500 (multiplicity 4)
Br  0.000  0.500  0.000 (multiplicity 2)

Output
Total magnetization = 0.00 μB/cell
DOS(E_F) = 0.58 states/eV per atom
Energy above the most stable polymorph in this dataset = 622 meV/atom
Volume = 113.0 Å³ per cell

6.
This record from the Alexandria database describes CeDySc after structural relaxation. The functional is PBE-GGA.

Lattice parameters (Å, degrees): 9.400 5.756 6.442 90.00 103.22 90.00
Space group P2_1/c (No. 14)
Symmetry-distinct sites (fractional):
Ce  0.072  0.211  0.014 (multiplicity 4)
Dy  0.267  0.689  0.884 (multiplicity 4)
Sc  0.419  0.180  0.798 (multiplicity 4)

Output
Total magnetization = 1.95 μB/cell
Formation energy from the elements = 0.11 eV/atom
DOS(E_F) = 2.36 states/eV per atom
Energy above the most stable polymorph in this dataset = 35 meV/atom
Volume = 339.4 Å³ per cell

7.
This record from the Alexandria database describes CrAgCl after structural relaxation. The functional is PBE-GGA.

Lattice parameters (Å, degrees): 6.409 6.409 6.409 90.00 90.00 90.00
Space group F-43m (No. 216)
Symmetry-distinct sites (fractional):
Cr  0.000  0.000  0.000 (multiplicity 4)
Ag  0.250  0.250  0.250 (multiplicity 4)
Cl  0.250  0.250  0.750 (multiplicity 4)

Output
Total magnetization = 16.71 μB/cell
DOS(E_F) = 1.28 states/eV per atom
Energy above the most stable polymorph in this dataset = 367 meV/atom
Volume = 263.2 Å³ per cell

8.
This record from the Alexandria database describes PRu2Au2 after structural relaxation. The functional is PBE-GGA.

Lattice parameters (Å, degrees): 5.947 5.947 4.596 90.00 90.00 90.00
Space group P4/mbm (No. 127)
Symmetry-distinct sites (fractional):
P  0.000  0.000  0.000 (multiplicity 2)
Ru  0.150  0.350  0.000 (multiplicity 4)
Au  0.168  0.668  0.500 (multiplicity 4)

Output
Total magnetization = 0.00 μB/cell
Formation energy from the elements = 0.02 eV/atom
DOS(E_F) = 0.52 states/eV per atom
Volume = 162.6 Å³ per cell